(one)
This record from Alexandria via LeMat-Bulk describes a geometry-optimized Hf2BeZn structure. The functional is PBE.

It has space group Immm (No. 71), with a = 2.880 Å, b = 4.955 Å, c = 10.922 Å, α = 90.00°, β = 90.00° and γ = 90.00°. The asymmetric unit holds Hf at (0.000, 0.000, 0.241), Be at (0.000, 0.000, 0.000) and Zn at (0.000, 0.000, 0.500).

The volume is 19.48 A^3/atom. Its density of states at the Fermi level is 0.52 states/eV/atom.

=====

(two)
This record from Alexandria via LeMat-Bulk describes a geometry-optimized Hf2BeZn structure. The functional is PBE.

It has space group I-42d (No. 122), with a = 7.217 Å, b = 7.217 Å, c = 5.500 Å, α = 90.00°, β = 90.00° and γ = 90.00°. The asymmetric unit holds Hf at (0.232, 0.750, 0.125), Be at (0.000, 0.000, 0.000) and Zn at (0.000, 0.000, 0.500).

The volume is 17.91 A^3/atom. Its density of states at the Fermi level is 1.01 states/eV/atom.

=====

(three)
This record from Alexandria via LeMat-Bulk describes a geometry-optimized Hf2BeZn structure. The functional is PBE.

It has space group R-3m (No. 166, hexagonal axes), with a = 2.9063 Å, b = 2.9063 Å, c = 30.7679 Å, α = 90.00°, β = 90.00° and γ = 120.00°. The asymmetric unit holds Hf at (0.0000, 0.0000, 0.0867), Be at (0.0000, 0.0000, 0.0000) and Zn at (0.0000, 0.0000, 0.5000).

The volume is 18.76 A^3/atom. Its density of states at the Fermi level is 0.64 states/eV/atom.

=====

(four)
This record from Alexandria via LeMat-Bulk describes a geometry-optimized Hf2BeZn structure. The functional is PBE.

It has space group Fm-3m (No. 225), with a = 6.443 Å, b = 6.443 Å, c = 6.443 Å, α = 90.00°, β = 90.00° and γ = 90.00°. The asymmetric unit holds Hf at (0.250, 0.250, 0.250), Be at (0.000, 0.000, 0.000) and Zn at (0.000, 0.000, 0.500).

The volume is 16.72 A^3/atom. Its density of states at the Fermi level is 0.24 states/eV/atom.

=====

Of them, the most stable is (four) and the least stable is (one).

=====

(one)
This record from Alexandria via LeMat-Bulk describes a geometry-optimized Hf2BeZn2 structure. The functional is PBE.

It has space group I4/mmm (No. 139), with a = 3.285 Å, b = 3.285 Å, c = 16.449 Å, α = 90.00°, β = 90.00° and γ = 90.00°. The asymmetric unit holds Hf at (0.000, 0.000, 0.094), Be at (0.000, 0.000, 0.500) and Zn at (0.000, 0.500, 0.250).

The volume is 17.75 A^3/atom. Its density of states at the Fermi level is 0.57 states/eV/atom.

=====

(two)
This record from Alexandria via LeMat-Bulk describes a geometry-optimized Hf2BeZn2 structure. The functional is PBE.

It has space group P4/mbm (No. 127), with a = 6.982 Å, b = 6.982 Å, c = 3.814 Å, α = 90.00°, β = 90.00° and γ = 90.00°. The asymmetric unit holds Hf at (0.159, 0.341, 0.000), Be at (0.000, 0.000, 0.000) and Zn at (0.143, 0.643, 0.500).

The volume is 18.59 A^3/atom. Its density of states at the Fermi level is 0.71 states/eV/atom.

=====

Of them, the most stable is (one) and the least stable is (two).

=====

(one)
This record from Alexandria via LeMat-Bulk describes a geometry-optimized HfZr2Be2 structure. The functional is PBE.

It has space group I4/mmm (No. 139), with a = 4.185 Å, b = 4.185 Å, c = 10.464 Å, α = 90.00°, β = 90.00° and γ = 90.00°. The asymmetric unit holds Hf at (0.000, 0.000, 0.000), Zr at (0.000, 0.000, 0.365) and Be at (0.000, 0.500, 0.250).

The volume is 18.33 A^3/atom. Its density of states at the Fermi level is 0.46 states/eV/atom.

=====

(two)
This record from Alexandria via LeMat-Bulk describes a geometry-optimized HfZr2Be2 structure. The functional is PBE.

It has space group P4/mbm (No. 127), with a = 7.746 Å, b = 7.746 Å, c = 2.936 Å, α = 90.00°, β = 90.00° and γ = 90.00°. The asymmetric unit holds Hf at (0.000, 0.000, 0.000), Zr at (0.135, 0.365, 0.000) and Be at (0.167, 0.667, 0.500).

The volume is 17.61 A^3/atom. Its density of states at the Fermi level is 0.98 states/eV/atom.

=====

(three)
This record from Alexandria via LeMat-Bulk describes a geometry-optimized HfZr2Be2 structure. The functional is PBE.

It has space group P4/mbm (No. 127), with a = 7.291 Å, b = 7.291 Å, c = 3.256 Å, α = 90.00°, β = 90.00° and γ = 90.00°. The asymmetric unit holds Hf at (0.000, 0.000, 0.000), Zr at (0.178, 0.322, 0.500) and Be at (0.112, 0.612, 0.000).

The volume is 17.31 A^3/atom. Its density of states at the Fermi level is 1.25 states/eV/atom.

=====

Of them, the most stable is (three) and the least stable is (one).

=====

(one)
This record from Alexandria via LeMat-Bulk describes a geometry-optimized Hf3ZrBe structure. The functional is PBE.

It has space group Pm-3m (No. 221), with a = 5.069 Å, b = 5.069 Å, c = 5.069 Å, α = 90.00°, β = 90.00° and γ = 90.00°. The asymmetric unit holds Hf at (0.000, 0.000, 0.500), Zr at (0.000, 0.000, 0.000) and Be at (0.500, 0.500, 0.500).

The volume is 26.06 A^3/atom. Its density of states at the Fermi level is 1.59 states/eV/atom.

=====

(two)
This record from Alexandria via LeMat-Bulk describes a geometry-optimized Hf3ZrBe structure. The functional is PBE.

It has space group Pm-3m (No. 221), with a = 4.748 Å, b = 4.748 Å, c = 4.748 Å, α = 90.00°, β = 90.00° and γ = 90.00°. The asymmetric unit holds Hf at (0.000, 0.000, 0.500), Zr at (0.500, 0.500, 0.500) and Be at (0.000, 0.000, 0.000).

The volume is 21.41 A^3/atom. Its density of states at the Fermi level is 1.22 states/eV/atom.

=====

Of them, the most stable is (two) and the least stable is (one).

=====

(one)
This record from Alexandria via LeMat-Bulk describes a geometry-optimized Be4Hg structure. The functional is PBE.

It has space group Pm-3m (No. 221), with a = 4.413 Å, b = 4.413 Å, c = 4.413 Å, α = 90.00°, β = 90.00° and γ = 90.00°. The asymmetric unit holds Be at (0.000, 0.000, 0.000), Be at (0.000, 0.500, 0.500) and Hg at (0.500, 0.500, 0.500).

The volume is 17.18 A^3/atom. Its density of states at the Fermi level is 0.37 states/eV/atom.

=====

(two)
This record from Alexandria via LeMat-Bulk describes a geometry-optimized Be4Hg structure. The functional is PBE.

It has space group Im-3m (No. 229), with a = 5.343 Å, b = 5.343 Å, c = 5.343 Å, α = 90.00°, β = 90.00° and γ = 90.00°. The asymmetric unit holds Be at (0.250, 0.250, 0.250) and Hg at (0.000, 0.000, 0.000).

The volume is 15.25 A^3/atom. Its density of states at the Fermi level is 0.83 states/eV/atom.

=====

Of them, the most stable is (two) and the least stable is (one).

=====

(one)
This record from Alexandria via LeMat-Bulk describes a geometry-optimized Be2HgI structure. The functional is PBE.

It has space group Fm-3m (No. 225), with a = 6.874 Å, b = 6.874 Å, c = 6.874 Å, α = 90.00°, β = 90.00° and γ = 90.00°. The asymmetric unit holds Be at (0.250, 0.250, 0.250), Hg at (0.000, 0.000, 0.000) and I at (0.000, 0.000, 0.500).

The volume is 20.30 A^3/atom. Its density of states at the Fermi level is 0.68 states/eV/atom.

=====

(two)
This record from Alexandria via LeMat-Bulk describes a geometry-optimized Be2HgI structure. The functional is PBE.

It has space group I-42d (No. 122), with a = 5.993 Å, b = 5.993 Å, c = 10.153 Å, α = 90.00°, β = 90.00° and γ = 90.00°. The asymmetric unit holds Be at (0.228, 0.250, 0.125), Hg at (0.000, 0.000, 0.000) and I at (0.000, 0.000, 0.500).

The volume is 22.79 A^3/atom. Its density of states at the Fermi level is 0.80 states/eV/atom.

=====

Of them, the most stable is (two) and the least stable is (one).